Model a:
The following is a PBE calculation of crystalline LiTcAuBr2 at its relaxed geometry, from the Alexandria database.

Structure (POSCAR):
```
LiTcAuBr2
1.0
5.483 0.000 0.000
0.000 5.483 0.000
0.000 0.000 4.760
Li Tc Au Br
1 1 1 2
Cartesian
0.000 0.000 0.000
2.742 2.742 0.000
0.000 0.000 2.380
0.000 2.742 2.380
2.742 0.000 2.380
```

Spin magnetization (μB per cell): 4.846
SG: P4/mmm, No. 123
N(E_F) (states/eV/cell): 3.39
Calculated volume (Å³/f.u.): 143



Model b:
The following is a PBE calculation of crystalline LiTcAuBr2 at its relaxed geometry, from the Alexandria database.

Structure (POSCAR):
```
LiTcAuBr2
1.0
4.668 0.000 0.000
0.000 4.668 0.000
0.000 0.000 5.212
Li Tc Au Br
1 1 1 2
Cartesian
0.000 0.000 0.000
0.000 0.000 2.606
2.334 2.334 2.606
0.000 2.334 0.000
2.334 0.000 0.000
```

Spin magnetization (μB per cell): 3.820
SG: P4/mmm, No. 123
N(E_F) (states/eV/cell): 2.81
Calculated volume (Å³/f.u.): 114



Which is most stable? The ranking, best first, is model b, model a.



Model a:
The following is a PBE calculation of crystalline MgAu2Br2 at its relaxed geometry, from the Alexandria database.

Structure (POSCAR):
```
MgAu2Br2
1.0
-2.306 2.306 6.013
2.306 -2.306 6.013
2.306 2.306 -6.013
Mg Au Br
1 2 2
Cartesian
0.000 0.000 0.000
0.000 0.000 4.718
0.000 0.000 7.309
2.306 0.000 3.007
0.000 2.306 3.007
```

Spin magnetization (μB per cell): 0.000
SG: I4/mmm, No. 139
N(E_F) (states/eV/cell): 0.90
Calculated volume (Å³/f.u.): 128



Model b:
The following is a PBE calculation of crystalline MgAu2Br2 at its relaxed geometry, from the Alexandria database.

Structure (POSCAR):
```
MgAu2Br2
1.0
7.193 0.000 0.000
0.000 7.193 0.000
0.000 0.000 4.667
Mg Au Br
2 4 4
Cartesian
0.000 0.000 0.000
3.596 3.596 0.000
0.950 2.646 0.000
2.646 6.242 0.000
4.547 0.950 0.000
6.242 4.547 0.000
1.565 5.162 2.333
2.031 1.565 2.333
5.162 5.627 2.333
5.627 2.031 2.333
```

Spin magnetization (μB per cell): 0.000
SG: P4/mbm, No. 127
N(E_F) (states/eV/cell): 5.00
Calculated volume (Å³/f.u.): 121



Which is most stable? The ranking, best first, is model b, model a.



Model a:
The following is a PBE calculation of crystalline MnAuBr2 at its relaxed geometry, from the Alexandria database.

Structure (POSCAR):
```
MnAuBr2
1.0
3.269 0.000 0.000
0.000 3.269 0.000
0.000 0.000 10.195
Mn Au Br
1 1 2
Cartesian
0.000 0.000 0.000
0.000 0.000 5.097
1.634 1.634 1.656
1.634 1.634 8.539
```

Spin magnetization (μB per cell): 4.963
SG: P4/mmm, No. 123
N(E_F) (states/eV/cell): 0.95
Calculated volume (Å³/f.u.): 109



Model b:
The following is a PBE calculation of crystalline MnAuBr2 at its relaxed geometry, from the Alexandria database.

Structure (POSCAR):
```
MnAuBr2
1.0
1.800 1.039 9.673
-1.800 1.039 9.673
0.000 -2.078 9.673
Mn Au Br
1 1 2
Cartesian
0.000 0.000 0.000
0.000 0.000 14.509
0.000 0.000 11.311
0.000 0.000 17.708
```

Spin magnetization (μB per cell): 4.876
SG: R-3m, No. 166
N(E_F) (states/eV/cell): 0.70
Calculated volume (Å³/f.u.): 109



Model c:
The following is a PBE calculation of crystalline MnAuBr2 at its relaxed geometry, from the Alexandria database.

Structure (POSCAR):
```
MnAuBr2
1.0
0.000 3.541 3.541
3.541 0.000 3.541
3.541 3.541 0.000
Mn Au Br
1 1 2
Cartesian
0.000 0.000 0.000
5.312 5.312 5.312
1.771 1.771 1.771
3.541 3.541 3.541
```

Spin magnetization (μB per cell): 4.339
SG: F-43m, No. 216
N(E_F) (states/eV/cell): 2.12
Calculated volume (Å³/f.u.): 89



Model d:
The following is a PBE calculation of crystalline MnAuBr2 at its relaxed geometry, from the Alexandria database.

Structure (POSCAR):
```
MnAuBr2
1.0
3.560 0.000 0.000
0.000 3.560 0.000
0.000 0.000 7.807
Mn Au Br
1 1 2
Cartesian
0.000 0.000 0.000
1.780 1.780 1.244
0.000 0.000 2.748
1.780 1.780 6.098
```

Spin magnetization (μB per cell): 4.094
SG: P4mm, No. 99
N(E_F) (states/eV/cell): 1.59
Calculated volume (Å³/f.u.): 99



Which is most stable? The ranking, best first, is model b, model d, model a, model c.



Model a:
The following is a PBE calculation of crystalline MnAuBr2 at its relaxed geometry, from the Alexandria database.

Structure (POSCAR):
```
MnAuBr2
1.0
4.062 0.000 0.000
0.000 4.025 0.000
-1.077 0.000 5.809
Mn Au Br
1 1 2
Cartesian
0.000 0.000 0.000
1.492 2.012 2.905
-0.539 0.000 2.905
2.031 2.012 0.000
```

Spin magnetization (μB per cell): 4.694
SG: P2/m, No. 10
N(E_F) (states/eV/cell): 1.97
Calculated volume (Å³/f.u.): 95



Model b:
The following is a PBE calculation of crystalline MnAuBr2 at its relaxed geometry, from the Alexandria database.

Structure (POSCAR):
```
MnAuBr2
1.0
4.878 0.000 0.000
0.000 4.878 0.000
0.000 0.000 3.686
Mn Au Br
1 1 2
Cartesian
0.000 0.000 0.000
2.439 2.439 0.000
0.000 2.439 1.843
2.439 0.000 1.843
```

Spin magnetization (μB per cell): 4.548
SG: P4/mmm, No. 123
N(E_F) (states/eV/cell): 1.42
Calculated volume (Å³/f.u.): 88



Which is most stable? The ranking, best first, is model a, model b.



Model a:
The following is a PBE calculation of crystalline MnAuBr2 at its relaxed geometry, from the Alexandria database.

Structure (POSCAR):
```
MnAuBr2
1.0
3.855 0.000 0.000
0.000 3.974 0.000
0.000 0.000 6.278
Mn Au Br
1 1 2
Cartesian
0.000 0.000 0.000
1.927 0.000 3.139
0.000 1.987 3.139
1.927 1.987 0.000
```

Spin magnetization (μB per cell): 4.586
SG: Pmmm, No. 47
N(E_F) (states/eV/cell): 1.50
Calculated volume (Å³/f.u.): 96



Model b:
The following is a PBE calculation of crystalline MnAuBr2 at its relaxed geometry, from the Alexandria database.

Structure (POSCAR):
```
MnAuBr2
1.0
1.785 1.031 10.197
-1.785 1.031 10.197
0.000 -2.062 10.197
Mn Au Br
1 1 2
Cartesian
0.000 0.000 0.000
0.000 0.000 15.296
0.000 0.000 8.552
0.000 0.000 22.039
```

Spin magnetization (μB per cell): 4.939
SG: R-3m, No. 166
N(E_F) (states/eV/cell): 1.47
Calculated volume (Å³/f.u.): 113



Model c:
The following is a PBE calculation of crystalline MnAuBr2 at its relaxed geometry, from the Alexandria database.

Structure (POSCAR):
```
MnAuBr2
1.0
1.829 -2.928 0.000
1.829 2.928 0.000
0.000 0.000 10.351
Mn Au Br
1 1 2
Cartesian
0.000 0.000 0.000
0.000 0.000 5.176
1.829 0.000 1.785
1.829 0.000 8.567
```

Spin magnetization (μB per cell): 4.957
SG: Cmmm, No. 65
N(E_F) (states/eV/cell): 0.55
Calculated volume (Å³/f.u.): 111



Which is most stable? The ranking, best first, is model b, model c, model a.



Model a:
The following is a PBE calculation of crystalline MnAuBr2 at its relaxed geometry, from the Alexandria database.

Structure (POSCAR):
```
MnAuBr2
1.0
-3.266 3.266 4.757
3.266 -3.266 4.757
3.266 3.266 -4.757
Mn Au Br
2 2 4
Cartesian
0.000 0.000 0.000
0.000 3.266 2.379
3.266 0.000 2.379
0.000 0.000 4.757
4.899 1.157 -1.189
1.157 1.633 1.189
-1.633 2.109 3.568
2.109 1.633 5.947
```

Spin magnetization (μB per cell): 0.274
SG: I-42d, No. 122
N(E_F) (states/eV/cell): 12.18
Calculated volume (Å³/f.u.): 101



Model b:
The following is a PBE calculation of crystalline MnAuBr2 at its relaxed geometry, from the Alexandria database.

Structure (POSCAR):
```
MnAuBr2
1.0
2.666 -6.802 0.000
2.666 6.802 0.000
0.000 0.000 3.436
Mn Au Br
1 1 2
Cartesian
0.000 0.000 0.000
2.666 0.000 0.000
2.666 4.967 1.718
2.666 -4.967 1.718
```

Spin magnetization (μB per cell): 4.060
SG: Cmmm, No. 65
N(E_F) (states/eV/cell): 3.08
Calculated volume (Å³/f.u.): 125



Which is most stable? The ranking, best first, is model b, model a.



Model a:
The following is a PBE calculation of crystalline MnAuBr2 at its relaxed geometry, from the Alexandria database.

Structure (POSCAR):
```
MnAuBr2
1.0
-1.959 1.959 6.267
1.959 -1.959 6.267
1.959 1.959 -6.267
Mn Au Br
1 1 2
Cartesian
0.000 0.000 0.000
1.959 0.000 3.133
0.000 0.000 6.267
0.000 1.959 3.133
```

Spin magnetization (μB per cell): 4.721
SG: I-4m2, No. 119
N(E_F) (states/eV/cell): 1.93
Calculated volume (Å³/f.u.): 96



Model b:
The following is a PBE calculation of crystalline MnAuBr2 at its relaxed geometry, from the Alexandria database.

Structure (POSCAR):
```
MnAuBr2
1.0
3.866 -3.896 0.000
3.866 3.896 0.000
-0.413 0.000 3.560
Mn Au Br
1 1 2
Cartesian
0.000 0.000 0.000
3.866 0.000 0.000
1.933 1.948 0.000
1.933 -1.948 0.000
```

Spin magnetization (μB per cell): 4.550
SG: C2/m, No. 12
N(E_F) (states/eV/cell): 1.43
Calculated volume (Å³/f.u.): 107



Which is most stable? The ranking, best first, is model b, model a.



Model a:
The following is a PBE calculation of crystalline MnAuBr2 at its relaxed geometry, from the Alexandria database.

Structure (POSCAR):
```
MnAuBr2
1.0
-1.767 3.984 4.542
1.767 -3.984 4.542
1.767 3.984 -4.542
Mn Au Br
1 1 2
Cartesian
0.000 0.000 0.000
0.000 3.984 2.705
1.767 0.000 1.751
0.000 0.000 5.264
```

Spin magnetization (μB per cell): 4.009
SG: Imm2, No. 44
Calculated volume (Å³/f.u.): 128



Model b:
The following is a PBE calculation of crystalline MnAuBr2 at its relaxed geometry, from the Alexandria database.

Structure (POSCAR):
```
MnAuBr2
1.0
3.265 -1.887 0.000
3.265 1.887 0.000
-2.165 0.000 8.367
Mn Au Br
1 1 2
Cartesian
0.000 0.000 0.000
4.350 0.000 1.553
0.010 0.000 6.868
2.169 0.000 3.271
```

Spin magnetization (μB per cell): 3.993
SG: Cm, No. 8
N(E_F) (states/eV/cell): 1.60
Calculated volume (Å³/f.u.): 103



Model c:
The following is a PBE calculation of crystalline MnAuBr2 at its relaxed geometry, from the Alexandria database.

Structure (POSCAR):
```
MnAuBr2
1.0
-1.722 2.333 6.988
1.722 -2.333 6.988
1.722 2.333 -6.988
Mn Au Br
1 1 2
Cartesian
0.000 0.000 0.000
0.000 0.000 6.988
1.722 0.000 1.971
0.000 2.333 5.017
```

Spin magnetization (μB per cell): 4.257
SG: Immm, No. 71
N(E_F) (states/eV/cell): 1.32
Calculated volume (Å³/f.u.): 112



Model d:
The following is a PBE calculation of crystalline MnAuBr2 at its relaxed geometry, from the Alexandria database.

Structure (POSCAR):
```
MnAuBr2
1.0
0.000 3.538 3.538
3.538 0.000 3.538
3.538 3.538 0.000
Mn Au Br
1 1 2
Cartesian
0.000 0.000 0.000
3.538 3.538 3.538
1.769 1.769 1.769
5.307 5.307 5.307
```

Spin magnetization (μB per cell): 4.387
SG: Fm-3m, No. 225
N(E_F) (states/eV/cell): 2.59
Calculated volume (Å³/f.u.): 89



Which is most stable? The ranking, best first, is model b, model a, model c, model d.



Model a:
The following is a PBE calculation of crystalline MnAuBr at its relaxed geometry, from the Alexandria database.

Structure (POSCAR):
```
MnAuBr
1.0
0.000 3.291 3.291
3.291 0.000 3.291
3.291 3.291 0.000
Mn Au Br
1 1 1
Cartesian
0.000 0.000 0.000
1.646 1.646 1.646
4.937 4.937 4.937
```

Spin magnetization (μB per cell): 4.958
SG: F-43m, No. 216
N(E_F) (states/eV/cell): 0.77
Calculated volume (Å³/f.u.): 71



Model b:
The following is a PBE calculation of crystalline MnAuBr at its relaxed geometry, from the Alexandria database.

Structure (POSCAR):
```
MnAuBr
1.0
0.000 2.389 6.509
2.209 0.000 6.509
2.209 2.389 0.000
Mn Au Br
1 1 1
Cartesian
0.000 0.000 0.000
2.209 2.389 4.904
2.209 2.389 8.171
```

Spin magnetization (μB per cell): 4.691
SG: Fmm2, No. 42
N(E_F) (states/eV/cell): 0.81
Calculated volume (Å³/f.u.): 69



Model c:
The following is a PBE calculation of crystalline MnAuBr at its relaxed geometry, from the Alexandria database.

Structure (POSCAR):
```
MnAuBr
1.0
3.657 0.000 0.000
-1.828 3.167 0.000
0.000 0.000 6.205
Mn Au Br
1 1 1
Cartesian
0.000 0.000 0.000
1.828 1.056 1.632
0.000 2.111 4.551
```

Spin magnetization (μB per cell): 4.938
SG: P3m1, No. 156
N(E_F) (states/eV/cell): 0.53
Calculated volume (Å³/f.u.): 72



Which is most stable? The ranking, best first, is model c, model b, model a.



Model a:
The following is a PBE calculation of crystalline Mo2AuBr at its relaxed geometry, from the Alexandria database.

Structure (POSCAR):
```
Mo2AuBr
1.0
3.144 0.000 0.000
0.000 3.144 0.000
0.000 0.000 6.739
Mo Au Br
2 1 1
Cartesian
0.000 0.000 1.664
0.000 0.000 5.075
1.572 1.572 3.369
1.572 1.572 0.000
```

Spin magnetization (μB per cell): 0.000
SG: P4/mmm, No. 123
N(E_F) (states/eV/cell): 3.97
Calculated volume (Å³/f.u.): 67



Model b:
The following is a PBE calculation of crystalline Mo2AuBr at its relaxed geometry, from the Alexandria database.

Structure (POSCAR):
```
Mo2AuBr
1.0
3.954 0.000 0.000
0.000 3.954 0.000
0.000 0.000 4.575
Mo Au Br
2 1 1
Cartesian
0.000 1.977 0.000
1.977 0.000 0.000
0.000 0.000 2.288
1.977 1.977 2.288
```

Spin magnetization (μB per cell): 0.000
SG: P4/mmm, No. 123
N(E_F) (states/eV/cell): 4.25
Calculated volume (Å³/f.u.): 72



Model c:
The following is a PBE calculation of crystalline Mo2AuBr at its relaxed geometry, from the Alexandria database.

Structure (POSCAR):
```
Mo2AuBr
1.0
5.100 -1.441 0.000
5.100 1.441 0.000
-1.372 0.000 4.811
Mo Au Br
2 1 1
Cartesian
0.000 0.000 0.000
7.307 0.000 1.144
4.466 0.000 2.336
1.703 0.000 3.943
```

Spin magnetization (μB per cell): 0.000
SG: Cm, No. 8
N(E_F) (states/eV/cell): 2.92
Calculated volume (Å³/f.u.): 71



Model d:
The following is a PBE calculation of crystalline Mo2AuBr at its relaxed geometry, from the Alexandria database.

Structure (POSCAR):
```
Mo2AuBr
1.0
-2.117 2.117 3.935
2.117 -2.117 3.935
2.117 2.117 -3.935
Mo Au Br
2 1 1
Cartesian
0.000 0.000 0.000
0.000 2.117 1.967
2.117 0.000 1.967
0.000 0.000 3.935
```

Spin magnetization (μB per cell): 0.566
SG: I-4m2, No. 119
N(E_F) (states/eV/cell): 4.63
Calculated volume (Å³/f.u.): 71



Which is most stable? The ranking, best first, is model c, model a, model d, model b.